No. 1
The following is a DFT calculation (GGA-PBE) of a relaxed structure of TaFeNi2.

Values from the calculation:
The formation energy comes out at -0.0797 eV per atom. Its crystal system is cubic. The magnetization is 0.34 μB/atom. Its mass density is 11745 kg/m³. As for the volume: 50 Å³/cell. For the calculated total energy, the calculation gives -7.90 eV/atom.

Structure (POSCAR):
```
TaFeNi2
1.0
0.0000 2.9255 2.9255
2.9255 0.0000 2.9255
2.9255 2.9255 0.0000
Fe Ni Ta
1 2 1
direct
0.2500 0.2500 0.2500 Fe
0.7500 0.7500 0.7500 Ni
0.0000 0.0000 0.0000 Ni
0.5000 0.5000 0.5000 Ta
```

***

No. 2
The following is a DFT calculation (GGA-PBE) of a relaxed structure of NaCo6P4.

Values from the calculation:
Its crystal system is hexagonal. The magnetization is 0.00 μB/atom. Its mass density is 6656 kg/m³. As for the volume: 125 Å³/cell. For the calculated total energy, the calculation gives -6.52 eV/atom.

Structure (POSCAR):
```
NaCo6P4
1.0
3.3648 0.0000 0.0000
0.0000 3.2726 5.6697
0.0000 -3.2726 5.6697
Co P Na
6 4 1
direct
0.5000 0.5956 0.2022 Co
0.0000 0.5361 0.9277 Co
0.0000 0.5361 0.5361 Co
0.5000 0.2022 0.5956 Co
0.0000 0.9277 0.5361 Co
0.5000 0.2022 0.2022 Co
0.0000 0.3333 0.3333 P
0.5000 0.8130 0.3739 P
0.5000 0.3739 0.8130 P
0.5000 0.8130 0.8130 P
0.0000 0.0000 0.0000 Na
```

***

No. 3
The following is a DFT calculation (GGA-PBE) of a relaxed structure of TbTm2In3.

Values from the calculation:
Its crystal system is tetragonal. The magnetization is 0.00 μB/atom. Its mass density is 9003 kg/m³. As for the volume: 155 Å³/cell. For the calculated total energy, the calculation gives -4.08 eV/atom.

Structure (POSCAR):
```
TbTm2In3
1.0
-0.1803 1.4594 -3.1682
-2.9845 -1.7066 -0.6163
-6.5743 9.7414 4.8613
In Tm Tb
3 2 1
direct
0.5000 0.5000 0.0000 In
0.5000 0.5000 0.6701 In
0.5000 0.5000 0.3299 In
0.0000 0.0000 0.1647 Tm
0.0000 0.0000 0.8353 Tm
0.0000 0.0000 0.5000 Tb
```

***

No. 4
The following is a DFT calculation (GGA-PBE) of a relaxed structure of Lu2TeMo.

Values from the calculation:
Its crystal system is cubic. The magnetization is 0.00 μB/atom. Its mass density is 11116 kg/m³. As for the volume: 86 Å³/cell. For the calculated total energy, the calculation gives -5.62 eV/atom.

Structure (POSCAR):
```
Lu2TeMo
1.0
-2.2046 -3.7397 2.3745
0.6307 -0.5487 4.8770
-3.7515 0.9045 3.0970
Lu Te Mo
2 1 1
direct
0.2500 0.2500 0.2500 Lu
0.0000 0.0000 0.0000 Lu
0.7500 0.7500 0.7500 Te
0.5000 0.5000 0.5000 Mo
```

***

No. 5
The following is a DFT calculation (GGA-PBE) of a relaxed structure of TcB3.

Values from the calculation:
Its crystal system is hexagonal. For the polymorph energy (0 for the lowest one), the calculation gives 0.232 eV/atom. The magnetization is 0.00 μB/atom. Its mass density is 6048 kg/m³. As for the volume: 143 Å³/cell. For the calculated total energy, the calculation gives -7.69 eV/atom.

Structure (POSCAR):
```
TcB3
1.0
5.2578 0.0000 0.0000
-2.6289 4.5534 0.0000
0.0000 0.0000 5.9836
B Tc
12 4
direct
0.6649 0.0000 0.5000 B
0.0000 0.3351 0.0000 B
0.3351 0.0000 0.0000 B
0.3351 0.3351 0.0000 B
0.3351 0.3351 0.5000 B
0.0000 0.3351 0.5000 B
0.0000 0.6649 0.0000 B
0.6649 0.6649 0.0000 B
0.3351 0.0000 0.5000 B
0.6649 0.0000 0.0000 B
0.6649 0.6649 0.5000 B
0.0000 0.6649 0.5000 B
0.0000 0.0000 0.7500 Tc
0.3333 0.6667 0.2500 Tc
0.6667 0.3333 0.7500 Tc
0.0000 0.0000 0.2500 Tc
```

***

No. 6
The following is a DFT calculation (GGA-PBE) of a relaxed structure of Fe2Pb.

Values from the calculation:
Its crystal system is tetragonal. The magnetization is 1.89 μB/atom. Its mass density is 7989 kg/m³. As for the volume: 133 Å³/cell. For the calculated total energy, the calculation gives -5.60 eV/atom.

Structure (POSCAR):
```
Fe2Pb
1.0
5.2115 0.0000 0.0000
0.0000 5.2115 0.0000
0.0000 0.0000 4.8809
Fe Pb
4 2
direct
0.6498 0.6498 0.0000 Fe
0.8502 0.1498 0.5000 Fe
0.3502 0.3502 0.0000 Fe
0.1498 0.8502 0.5000 Fe
0.5000 0.5000 0.5000 Pb
0.0000 0.0000 0.0000 Pb
```

***

No. 7
The following is a DFT calculation (GGA-PBE) of a relaxed structure of GdYGa5.

Values from the calculation:
Its crystal system is tetragonal. The magnetization is 0.00 μB/atom. Its mass density is 6577 kg/m³. As for the volume: 150 Å³/cell. For the calculated total energy, the calculation gives -4.19 eV/atom.

Structure (POSCAR):
```
GdYGa5
1.0
4.2170 0.0000 0.0000
0.0000 4.2170 0.0000
0.0000 0.0000 8.4436
Ga Gd Y
5 1 1
direct
0.5000 0.0000 0.7461 Ga
0.0000 0.5000 0.2539 Ga
0.5000 0.5000 0.0000 Ga
0.5000 0.0000 0.2539 Ga
0.0000 0.5000 0.7461 Ga
0.0000 0.0000 0.5000 Gd
0.0000 0.0000 0.0000 Y
```

***

No. 8
The following is a DFT calculation (GGA-PBE) of a relaxed structure of Cs2RbHoCl6.

Values from the calculation:
Its crystal system is cubic. The magnetization is 0.00 μB/atom. Its mass density is 3268 kg/m³. As for the volume: 370 Å³/cell. For the calculated total energy, the calculation gives -3.98 eV/atom.

Structure (POSCAR):
```
Cs2RbHoCl6
1.0
6.3121 -4.5446 -2.1182
-1.1780 -7.0367 -3.7522
1.9624 -0.7985 -7.7778
Cl Ho Rb Cs
6 1 1 2
direct
0.7706 0.2294 0.7706 Cl
0.2294 0.7706 0.7706 Cl
0.7706 0.7706 0.2294 Cl
0.2294 0.7706 0.2294 Cl
0.2294 0.2294 0.7706 Cl
0.7706 0.2294 0.2294 Cl
0.0000 0.0000 0.0000 Ho
0.5000 0.5000 0.5000 Rb
0.7500 0.7500 0.7500 Cs
0.2500 0.2500 0.2500 Cs
```